Entry 1:
Density functional theory data (GGA-PBE) for a relaxed ZrTe2Cl5 crystal.

abc: 7.220 7.333 8.159
angles: 93.59 111.35 114.76
Space group P1 (No. 1)
Asymmetric unit:
Zr 0.000 0.000 0.000
Te 0.584 0.506 0.490
Te 0.874 0.432 0.432
Cl 0.005 0.326 0.997
Cl 0.175 0.090 0.338
Cl 0.301 0.966 0.979
Cl 0.689 0.697 0.987
Cl 0.797 0.919 0.647

Output
M_tot	0.13	μB per atom
calculated total energy	-4.08	eV/atom

---

Entry 2:
Density functional theory data (GGA-PBE) for a relaxed ZrTeCl3 crystal.

abc: 5.487 5.487 5.487
angles: 90.00 90.00 90.00
Space group Pm-3m (No. 221)
Asymmetric unit:
Zr 0.000 0.000 0.000
Te 0.500 0.500 0.500
Cl 0.000 0.500 0.500

Output
M_tot	0.55	μB per atom
offset from the most stable computed form	1.619	eV/atom
calculated total energy	-3.01	eV/atom

---

Entry 3:
Density functional theory data (GGA-PBE) for a relaxed ZrTeCl4 crystal.

abc: 8.068 8.068 8.068
angles: 90.00 90.00 90.00
Space group F-43m (No. 216)
Asymmetric unit:
Zr 0.000 0.000 0.000
Te 0.250 0.250 0.250
Cl 0.126 0.126 0.626

Output
M_tot	0.25	μB per atom
calculated total energy	-2.95	eV/atom

---

no.,ΔE_f (raw) (kJ/mol of formula units)
1,-827
2,209
3,130